1.
Material: HgRhCl2
Method: DFT, GGA-PBE
State: relaxed

Unit cell a=3.2344 b=5.3115 c=11.6928 alpha=90.00 beta=90.00 gamma=90.00
Last column: nearest neighbours and their distance in Å.
Space group Immm (No. 71)
Asymmetric unit:
Hg (0.0000, 0.0000, 0.0000) [2 per cell]  4 Rh 3.11, 4 Cl 3.18, 2 Hg 3.23
Rh (0.0000, 0.0000, 0.5000) [2 per cell]  4 Cl 2.38
Cl (0.0000, 0.5000, 0.1489) [4 per cell]  2 Rh 2.38

The uncorrected formation energy comes out at -0.21 eV/atom. The mass density comes out at 6.19 g cm⁻³. The calculation puts the energy at -3.051 eV/atom. The value obtained for the total magnetization is 0.0 μB/f.u. As for the energy above the most stable polymorph in this dataset: 83.4 meV/atom.

***

2.
Material: Sr2LiCa
Method: DFT, GGA-PBE
State: relaxed

Unit cell a=4.2833 b=4.2610 c=9.4317 alpha=90.00 beta=90.08 gamma=90.00
Last column: nearest neighbours and their distance in Å.
Space group P2/m (No. 10)
Asymmetric unit:
Sr (0.9996, 0.0000, 0.2185) [2 per cell]  4 Li 3.65-3.66, 4 Ca 4.02
Li (0.5000, 0.5000, 0.0000) [1 per cell]  8 Sr 3.65-3.66
Ca (0.5000, 0.5000, 0.5000) [1 per cell]  8 Sr 4.02, 4 Ca 4.26-4.28

The energy of formation comes out at 0.020 eV per atom. The mass density comes out at 2.14 g cm⁻³. The calculation puts the energy at -1.800 eV/atom. The value obtained for the total magnetization is 0.0 μB/f.u. As for the energy above the most stable polymorph in this dataset: 4.1 meV/atom.

***

3.
Material: PIr2Pb
Method: DFT, GGA-PBE
State: relaxed

Unit cell a=3.9094 b=3.9226 c=5.9512 alpha=90.00 beta=90.18 gamma=90.00
Last column: nearest neighbours and their distance in Å.
Space group Pm (No. 6)
Asymmetric unit:
P (0.0000, 0.0000, 0.0000) [1 per cell]  4 Ir 2.31
Ir (0.4990, 0.0000, 0.7936) [1 per cell]  2 P 2.31
Ir (0.9990, 0.5000, 0.7949) [1 per cell]  2 P 2.31
Pb (0.4976, 0.5000, 0.4401) [1 per cell]  4 Ir 2.88

The energy of formation comes out at -0.040 eV per atom. The mass density comes out at 11.33 g cm⁻³. The calculation puts the energy at -6.750 eV/atom. The value obtained for the total magnetization is 0.0 μB/f.u. As for the energy above the most stable polymorph in this dataset: 16.0 meV/atom.

***

4.
Material: CsGeP2
Method: DFT, GGA-PBE
State: relaxed

Unit cell a=4.4224 b=14.3646 c=7.0973 alpha=90.00 beta=95.62 gamma=90.00
Last column: nearest neighbours and their distance in Å.
Space group P2_1/m (No. 11)
Asymmetric unit:
Cs (0.0290, 0.2500, 0.2217) [2 per cell]  4 P 3.48-3.66, 4 Ge 3.66-3.78
Cs (0.4129, 0.7500, 0.3063) [2 per cell]  4 P 3.46-3.49
Ge (0.4889, 0.5423, 0.7513) [4 per cell]  2 P 2.43
P (0.1375, 0.0568, 0.5575) [4 per cell]  1 P 2.15
P (0.1524, 0.5547, 0.0555) [4 per cell]  1 P 2.17

The energy of formation comes out at -0.138 eV per atom. The mass density comes out at 3.96 g cm⁻³. The calculation puts the energy at -4.210 eV/atom. The value obtained for the total magnetization is 0.0 μB/f.u.

***

5.
Material: Zr2CuRh
Method: DFT, GGA-PBE
State: relaxed

Unit cell a=3.3670 b=4.2673 c=5.3361 alpha=90.00 beta=107.32 gamma=90.00
Last column: nearest neighbours and their distance in Å.
Space group Pm (No. 6)
Asymmetric unit:
Zr (0.0000, 0.0000, 0.0000) [1 per cell]  3 Rh 2.77-2.88, 4 Cu 2.78-2.79
Zr (0.2745, 0.5000, 0.5703) [1 per cell]  4 Rh 2.78, 3 Cu 2.79-2.86
Cu (0.5567, 0.5000, 0.1177) [1 per cell]  2 Rh 2.74, 7 Zr 2.78-2.86
Rh (0.7198, 0.0000, 0.4559) [1 per cell]  2 Cu 2.74, 7 Zr 2.77-2.88

The energy of formation comes out at -0.469 eV per atom. The mass density comes out at 7.92 g cm⁻³. The calculation puts the energy at -7.605 eV/atom. The value obtained for the total magnetization is 0.0 μB/f.u.

***

6.
Material: AlAg2P
Method: DFT, GGA-PBE
State: relaxed

Unit cell a=5.6170 b=8.3885 c=2.8805 alpha=90.00 beta=90.00 gamma=90.00
Last column: nearest neighbours and their distance in Å.
Space group Cmmm (No. 65)
Asymmetric unit:
Al (0.0000, 0.0000, 0.0000) [2 per cell]  2 P 2.81, 2 Al 2.88, 8 Ag 2.91
Ag (0.2500, 0.2500, 0.5000) [4 per cell]  4 Ag 2.81-2.88, 4 P 2.91, 4 Al 2.91
P (0.0000, 0.5000, 0.0000) [2 per cell]  2 Al 2.81, 2 P 2.88, 8 Ag 2.91

The energy of formation comes out at 0.186 eV per atom. The mass density comes out at 6.70 g cm⁻³. The calculation puts the energy at -3.528 eV/atom. The value obtained for the total magnetization is 0.0 μB/f.u. As for the energy above the most stable polymorph in this dataset: 98.0 meV/atom.